# RuCSCl2 (PBE, optimized geometry)
# * E above lowest polymorph: 0 meV per atom
# * D(E_F): 0.847 states/eV/atom
# * crystal system: tetragonal
# * magnetization: 0.26 μB/atom
data_RuCSCl2
_chemical_formula_sum 'Ru1 C1 S1 Cl2'
_cell_length_a 4.8987
_cell_length_b 4.8987
_cell_length_c 4.3867
_cell_angle_alpha 90.00
_cell_angle_beta 90.00
_cell_angle_gamma 90.00
_space_group_name_H-M_alt 'P 4/m m m'
_space_group_IT_number 123
_space_group_name_Hall '-P 4 2'
loop_
_atom_site_label
_atom_site_fract_x
_atom_site_fract_y
_atom_site_fract_z
Ru1 0.0000 0.0000 0.0000
C1 0.5000 0.5000 0.5000
S1 0.0000 0.0000 0.5000
Cl1 0.0000 0.5000 0.0000

=====

# Sm4RuCCl2 (PBE, optimized geometry)
# * D(E_F): 0.515 states/eV/atom
# * crystal system: monoclinic
# * magnetization: 0.00 μB/atom
data_Sm4RuCCl2
_chemical_formula_sum 'Sm4 Ru1 C1 Cl2'
_cell_length_a 6.9131
_cell_length_b 3.8396
_cell_length_c 7.5323
_cell_angle_alpha 90.00
_cell_angle_beta 105.76
_cell_angle_gamma 90.00
_space_group_name_H-M_alt 'P 1 2/m 1'
_space_group_IT_number 10
_space_group_name_Hall '-P 2y'
loop_
_atom_site_label
_atom_site_fract_x
_atom_site_fract_y
_atom_site_fract_z
Sm1 0.2222 0.0000 0.1841
Sm2 0.2385 0.5000 0.7992
Ru1 0.5000 0.0000 0.0000
C1 0.0000 0.5000 0.0000
Cl1 0.0000 0.0000 0.5000
Cl2 0.5000 0.5000 0.5000

=====

# SbCS2Cl (PBE, optimized geometry)
# * E above lowest polymorph: 0 meV per atom
# * D(E_F): 0.624 states/eV/atom
# * crystal system: tetragonal
# * magnetization: 0.00 μB/atom
data_SbCS2Cl
_chemical_formula_sum 'Sb1 C1 S2 Cl1'
_cell_length_a 4.3134
_cell_length_b 4.3134
_cell_length_c 4.3799
_cell_angle_alpha 90.00
_cell_angle_beta 90.00
_cell_angle_gamma 90.00
_space_group_name_H-M_alt 'P 4/m m m'
_space_group_IT_number 123
_space_group_name_Hall '-P 4 2'
loop_
_atom_site_label
_atom_site_fract_x
_atom_site_fract_y
_atom_site_fract_z
Sb1 0.0000 0.0000 0.0000
C1 0.5000 0.5000 0.5000
S1 0.0000 0.5000 0.5000
Cl1 0.5000 0.5000 0.0000

=====

# SbCS2Cl (PBE, optimized geometry)
# * E above lowest polymorph: 655 meV per atom
# * D(E_F): 0.791 states/eV/atom
# * crystal system: tetragonal
# * magnetization: 0.14 μB/atom
data_SbCS2Cl
_chemical_formula_sum 'Sb1 C1 S2 Cl1'
_cell_length_a 5.0907
_cell_length_b 5.0907
_cell_length_c 5.1337
_cell_angle_alpha 90.00
_cell_angle_beta 90.00
_cell_angle_gamma 90.00
_space_group_name_H-M_alt 'P 4/m m m'
_space_group_IT_number 123
_space_group_name_Hall '-P 4 2'
loop_
_atom_site_label
_atom_site_fract_x
_atom_site_fract_y
_atom_site_fract_z
Sb1 0.0000 0.0000 0.0000
C1 0.5000 0.5000 0.5000
S1 0.0000 0.5000 0.0000
Cl1 0.0000 0.0000 0.5000

=====

# ScCSCl2 (PBE, optimized geometry)
# * E above lowest polymorph: 26 meV per atom
# * D(E_F): 0.784 states/eV/atom
# * crystal system: tetragonal
# * magnetization: 0.00 μB/atom
data_ScCSCl2
_chemical_formula_sum 'Sc1 C1 S1 Cl2'
_cell_length_a 4.2623
_cell_length_b 4.2623
_cell_length_c 4.4515
_cell_angle_alpha 90.00
_cell_angle_beta 90.00
_cell_angle_gamma 90.00
_space_group_name_H-M_alt 'P 4/m m m'
_space_group_IT_number 123
_space_group_name_Hall '-P 4 2'
loop_
_atom_site_label
_atom_site_fract_x
_atom_site_fract_y
_atom_site_fract_z
Sc1 0.0000 0.0000 0.0000
C1 0.5000 0.5000 0.5000
S1 0.5000 0.5000 0.0000
Cl1 0.0000 0.5000 0.5000

=====

# ScCSCl2 (PBE, optimized geometry)
# * E above lowest polymorph: 0 meV per atom
# * D(E_F): 0.779 states/eV/atom
# * crystal system: tetragonal
# * magnetization: 0.20 μB/atom
data_ScCSCl2
_chemical_formula_sum 'Sc1 C1 S1 Cl2'
_cell_length_a 4.8706
_cell_length_b 4.8706
_cell_length_c 5.1788
_cell_angle_alpha 90.00
_cell_angle_beta 90.00
_cell_angle_gamma 90.00
_space_group_name_H-M_alt 'P 4/m m m'
_space_group_IT_number 123
_space_group_name_Hall '-P 4 2'
loop_
_atom_site_label
_atom_site_fract_x
_atom_site_fract_y
_atom_site_fract_z
Sc1 0.0000 0.0000 0.0000
C1 0.5000 0.5000 0.5000
S1 0.0000 0.0000 0.5000
Cl1 0.0000 0.5000 0.0000

=====

Formation energy (no corrections) per entry: 1.417 -0.914 0.962 1.617 0.358 0.332 eV per atom